Material: Na4Hf2Bi
Method: DFT, PBE-GGA
State: optimized geometry

Values from the calculation:
For the total energy, the calculation gives -22.4 eV/f.u. Its formation enthalpy at 0 K is 6.680 eV per formula unit. The value obtained for the total magnetization is 0.00 μB/cell.

Cell: 6.0409 6.0409 15.3714 Å, 90.00 90.00 90.00°
Atoms (fractional coordinates):
Na  0.0000  0.0000  0.2001
Na  0.0000  0.0000  0.7999
Na  0.0000  0.5000  0.0000
Na  0.0000  0.5000  0.5000
Na  0.5000  0.0000  0.0000
Na  0.5000  0.0000  0.5000
Na  0.5000  0.5000  0.2999
Na  0.5000  0.5000  0.7001
Hf  0.0000  0.0000  0.4184
Hf  0.0000  0.0000  0.5816
Hf  0.5000  0.5000  0.0816
Hf  0.5000  0.5000  0.9184
Bi  0.0000  0.0000  0.0000
Bi  0.5000  0.5000  0.5000